(1)
The following is a PBEsol calculation of an optimized crystal structure of Li2MnFe, from Alexandria.

Unit cell a=4.891 b=4.891 c=2.287 alpha=90.00 beta=90.00 gamma=125.30
Sites, in units of the cell vectors:
Li1 0.000 0.500 0.000
Li2 0.500 0.000 0.000
Mn1 0.000 0.000 0.500
Fe1 0.500 0.500 0.500

* energy of formation from the pure elements: 457 meV per atom



(2)
The following is a PBEsol calculation of an optimized crystal structure of Li2MnFe, from Alexandria.

Unit cell a=2.293 b=4.349 c=4.470 alpha=90.00 beta=90.00 gamma=90.00
Sites, in units of the cell vectors:
Li1 0.000 0.000 0.250
Li2 0.000 0.000 0.750
Mn1 0.500 0.500 0.000
Fe1 0.500 0.500 0.500

* energy of formation from the pure elements: 456 meV per atom



(3)
The following is a PBEsol calculation of an optimized crystal structure of LiMn4Fe, from Alexandria.

Unit cell a=4.552 b=4.552 c=4.552 alpha=60.00 beta=60.00 gamma=60.00
Sites, in units of the cell vectors:
Li1 0.000 0.000 0.000
Mn1 0.375 0.375 0.375
Mn2 0.375 0.375 0.875
Mn3 0.375 0.875 0.375
Mn4 0.875 0.375 0.375
Fe1 0.750 0.750 0.750

* energy of formation from the pure elements: 366 meV per atom



(4)
The following is a PBEsol calculation of an optimized crystal structure of Li4Mn3Fe2Ni3O16, from Alexandria.

Unit cell a=5.615 b=5.615 c=9.202 alpha=90.11 beta=90.11 gamma=60.74
Sites, in units of the cell vectors:
Li1 0.000 0.000 0.000
Li2 0.011 0.011 0.494
Li3 0.334 0.334 0.099
Li4 0.672 0.672 0.596
Mn1 0.169 0.663 0.777
Mn2 0.663 0.169 0.777
Mn3 0.835 0.835 0.281
Fe1 0.341 0.341 0.500
Fe2 0.658 0.658 0.003
Ni1 0.171 0.171 0.775
Ni2 0.347 0.835 0.285
Ni3 0.835 0.347 0.285
O1 0.002 0.002 0.682
O2 0.009 0.009 0.192
O3 0.048 0.487 0.646
O4 0.171 0.674 0.399
O5 0.180 0.180 0.405
O6 0.326 0.832 0.890
O7 0.335 0.335 0.883
O8 0.483 0.483 0.653
O9 0.487 0.048 0.646
O10 0.523 0.523 0.150
O11 0.530 0.968 0.160
O12 0.672 0.672 0.388
O13 0.674 0.171 0.399
O14 0.832 0.326 0.890
O15 0.834 0.834 0.885
O16 0.968 0.530 0.160

* formation energy without anion corrections: -41.17 eV/f.u.



(5)
The following is a PBEsol calculation of an optimized crystal structure of Li4Mn3Fe3Ni2O16, from Alexandria.

Unit cell a=5.575 b=5.575 c=9.340 alpha=90.53 beta=90.53 gamma=59.97
Sites, in units of the cell vectors:
Li1 0.000 0.000 0.000
Li2 0.001 0.001 0.497
Li3 0.342 0.342 0.899
Li4 0.678 0.678 0.400
Mn1 0.174 0.174 0.215
Mn2 0.344 0.839 0.716
Mn3 0.839 0.344 0.716
Fe1 0.185 0.661 0.215
Fe2 0.661 0.185 0.215
Fe3 0.837 0.837 0.715
Ni1 0.339 0.339 0.490
Ni2 0.674 0.674 0.991
O1 0.005 0.005 0.311
O2 0.007 0.007 0.815
O3 0.048 0.489 0.337
O4 0.165 0.165 0.603
O5 0.165 0.680 0.605
O6 0.330 0.841 0.104
O7 0.337 0.337 0.106
O8 0.489 0.048 0.337
O9 0.492 0.492 0.337
O10 0.526 0.526 0.837
O11 0.528 0.972 0.835
O12 0.671 0.671 0.608
O13 0.680 0.165 0.605
O14 0.841 0.330 0.104
O15 0.844 0.844 0.111
O16 0.972 0.528 0.835

* formation energy without anion corrections: -42.93 eV/f.u.



(6)
The following is a PBEsol calculation of an optimized crystal structure of Li2MnFe3O8, from Alexandria.

Unit cell a=5.533 b=5.533 c=9.180 alpha=90.00 beta=90.00 gamma=120.00
Sites, in units of the cell vectors:
Li1 0.000 0.000 0.000
Li2 0.000 0.000 0.500
Li3 0.333 0.667 0.102
Li4 0.667 0.333 0.602
Mn1 0.333 0.667 0.507
Mn2 0.667 0.333 0.007
Fe1 0.175 0.350 0.782
Fe2 0.175 0.825 0.782
Fe3 0.350 0.175 0.282
Fe4 0.650 0.825 0.782
Fe5 0.825 0.175 0.282
Fe6 0.825 0.650 0.282
O1 0.000 0.000 0.191
O2 0.000 0.000 0.691
O3 0.038 0.519 0.652
O4 0.167 0.334 0.395
O5 0.167 0.833 0.395
O6 0.333 0.667 0.897
O7 0.334 0.167 0.895
O8 0.481 0.519 0.652
O9 0.481 0.962 0.652
O10 0.519 0.038 0.152
O11 0.519 0.481 0.152
O12 0.666 0.833 0.395
O13 0.667 0.333 0.397
O14 0.833 0.167 0.895
O15 0.833 0.666 0.895
O16 0.962 0.481 0.152

* formation energy without anion corrections: -21.91 eV/f.u.



(7)
The following is a PBEsol calculation of an optimized crystal structure of Li6MnFe2O6, from Alexandria.

Unit cell a=6.522 b=6.522 c=7.469 alpha=101.11 beta=101.11 gamma=25.92
Sites, in units of the cell vectors:
Li1 0.000 0.000 0.000
Li2 0.013 0.013 0.673
Li3 0.365 0.365 0.604
Li4 0.385 0.385 0.255
Li5 0.661 0.661 0.003
Li6 0.727 0.727 0.315
Mn1 0.058 0.058 0.356
Fe1 0.310 0.310 0.916
Fe2 0.705 0.705 0.680
O1 0.143 0.143 0.836
O2 0.220 0.220 0.477
O3 0.493 0.493 0.492
O4 0.562 0.562 0.166
O5 0.813 0.813 0.125
O6 0.885 0.885 0.782

* formation energy without anion corrections: -22.61 eV/f.u.



(8)
The following is a PBEsol calculation of an optimized crystal structure of Li2MnFe3O8, from Alexandria.

Unit cell a=5.502 b=5.502 c=5.777 alpha=117.63 beta=117.63 gamma=60.81
Sites, in units of the cell vectors:
Li1 0.000 0.500 0.000
Li2 0.500 0.000 0.000
Mn1 0.000 0.000 0.500
Fe1 0.000 0.500 0.500
Fe2 0.500 0.000 0.500
Fe3 0.500 0.500 0.500
O1 0.236 0.236 0.714
O2 0.238 0.736 0.708
O3 0.264 0.264 0.287
O4 0.264 0.762 0.292
O5 0.736 0.238 0.708
O6 0.736 0.736 0.713
O7 0.762 0.264 0.292
O8 0.764 0.764 0.286

* formation energy without anion corrections: -21.69 eV/f.u.